! MoRuN2O (PBE+U, relaxed); values from VASP
&SYSTEM
  ibrav = 0, nat = 5, ntyp = 4
/
ATOMIC_SPECIES
Mo 95.94 Mo.upf
Ru 101.07 Ru.upf
N 14.01 N.upf
O 16.00 O.upf
CELL_PARAMETERS angstrom
3.772 0.000 0.000
0.000 3.772 0.000
0.000 0.000 4.319
ATOMIC_POSITIONS crystal
Mo 0.000 0.000 0.000
Ru 0.500 0.500 0.500
N 0.000 0.500 0.500
N 0.500 0.000 0.500
O 0.500 0.500 0.000
! DFT total energy (eV/atom): -6.9433
! Magnetization (μB per atom): 0.674